Entry from Alexandria: Pm3InSi2 after structural relaxation (PBE).

As for the total moment: 0.00 μB per formula unit. The space group is No. 167. Its calculated volume is 28.45 Å³/atom. The value obtained for the uncorrected formation energy is -0.44 eV/atom. The theoretical density comes out at 5.9 g/cm³.

Unit cell a=7.767 b=7.767 c=7.767 alpha=61.35 beta=61.35 gamma=61.35
Positions (direct):
In: 0.500 0.500 0.500
In: 0.000 0.000 0.000
Si: 0.851 0.851 0.851
Si: 0.351 0.351 0.351
Si: 0.649 0.649 0.649
Si: 0.149 0.149 0.149
Pm: 0.042 0.750 0.458
Pm: 0.250 0.542 0.958
Pm: 0.958 0.250 0.542
Pm: 0.750 0.458 0.042
Pm: 0.458 0.042 0.750
Pm: 0.542 0.958 0.250